This record from Alexandria describes a relaxed Ho7Tl2Pb2 crystal. The functional is GGA-PBE.

## Properties
Crystal system: orthorhombic
Energy of formation: -0.027 eV per atom
Total moment: 0.00 μB/f.u.
DFT total energy: -4.045 eV/atom

Cell: 6.9480 7.6282 6.9480 Å, 90.00 107.78 90.00°
Fractional positions:
Tl: 0.2870 0.0000 0.7130
Tl: 0.7130 0.0000 0.2870
Ho: 0.9998 0.2866 0.5003
Ho: 0.5002 0.7465 0.4998
Ho: 0.4998 0.2535 0.5002
Ho: 0.5003 0.7134 0.9998
Ho: 0.4997 0.2866 0.0002
Ho: 0.0002 0.7134 0.4997
Ho: 0.0000 0.0000 0.0000
Pb: 0.8143 0.5000 0.8143
Pb: 0.1857 0.5000 0.1857